PaP4 GGA-PBE optimized geometry; raw total energy = -5.24 eV per atom; magnetization = 0.9 μB/f.u.; symmetry = Pm-3m
1.0
-1.9904 0.3428 4.8495
4.0488 -2.7839 1.8585
2.6912 4.4418 0.7905
P Pa
4 1
Cartesian
0.0000 0.0000 0.0000 P
0.3504 2.3923 2.8200 P
3.3700 0.8289 1.3245 P
1.0292 -1.2205 3.3540 P
2.3748 1.0003 3.7493 Pa